Record 1
{
  "formula": "MgGaS2N",
  "functional": "PBE",
  "state": "relaxed",
  "rho_g_cm3": 3.027,
  "final_energy_ev_per_cell": -17.76,
  "raw_formation_energy_mev_per_atom": 689,
  "total_magnetization_mub_per_cell": 0.0,
  "lattice": [[4.918, 0.000, 0.000], [0.000, 4.918, 0.000], [0.000, 0.000, 3.904]],
  "species": ["Ga", "S", "S", "Mg", "N"],
  "frac_coords": [[0.500, 0.500, 0.500], [0.500, 0.000, 0.000], [0.000, 0.500, 0.000], [0.000, 0.000, 0.000], [0.000, 0.000, 0.500]]
}



Record 2
{
  "formula": "LiSc2ZnC",
  "functional": "PBE",
  "state": "relaxed",
  "rho_g_cm3": 3.428,
  "final_energy_ev_per_cell": -25.99,
  "delta_e_f_kj_per_mol_atoms": -18,
  "total_magnetization_mub_per_cell": 0.0,
  "lattice": [[4.482, 0.000, 0.000], [0.000, 4.482, 0.000], [0.000, 0.000, 4.203]],
  "species": ["Sc", "Sc", "Zn", "C", "Li"],
  "frac_coords": [[0.000, 0.500, 0.000], [0.500, 0.000, 0.000], [0.500, 0.500, 0.500], [0.000, 0.000, 0.000], [0.000, 0.000, 0.500]]
}



Record 3
{
  "formula": "SrYBiO2",
  "functional": "PBE",
  "state": "relaxed",
  "rho_g_cm3": 5.367,
  "final_energy_ev_per_cell": -25.15,
  "raw_formation_energy_mev_per_atom": -641,
  "total_magnetization_mub_per_cell": 0.0,
  "lattice": [[4.566, 0.000, 0.000], [0.000, 6.196, 0.000], [0.000, 0.000, 4.566]],
  "species": ["Bi", "O", "O", "Y", "Sr"],
  "frac_coords": [[0.000, 0.500, 0.000], [0.000, 0.000, 0.500], [0.500, 0.000, 0.000], [0.500, 0.500, 0.500], [0.000, 0.000, 0.000]]
}



Record 4
{
  "formula": "Pm2MnAlGa6",
  "functional": "PBE",
  "state": "relaxed",
  "rho_g_cm3": 6.505,
  "final_energy_ev_per_cell": -87.56,
  "delta_e_f_kj_per_mol_atoms": -31,
  "total_magnetization_mub_per_cell": 4.4,
  "lattice": [[-0.466, 4.773, 4.090], [-5.511, 1.220, 2.806], [0.872, -5.239, 11.071]],
  "species": ["Al", "Al", "Ga", "Ga", "Ga", "Ga", "Ga", "Ga", "Ga", "Ga", "Ga", "Ga", "Ga", "Ga", "Pm", "Pm", "Pm", "Pm", "Mn", "Mn"],
  "frac_coords": [[0.500, 0.500, 0.500], [0.000, 0.000, 0.000], [0.204, 0.760, 0.832], [0.204, 0.204, 0.832], [0.651, 0.054, 0.644], [0.349, 0.349, 0.356], [0.796, 0.796, 0.168], [0.349, 0.946, 0.356], [0.651, 0.651, 0.644], [0.240, 0.796, 0.168], [0.796, 0.240, 0.168], [0.946, 0.349, 0.356], [0.760, 0.204, 0.832], [0.054, 0.651, 0.644], [0.136, 0.136, 0.591], [0.689, 0.689, 0.932], [0.864, 0.864, 0.409], [0.311, 0.311, 0.068], [0.425, 0.425, 0.725], [0.575, 0.575, 0.275]]
}



Record 5
{
  "formula": "CuSi3",
  "functional": "PBE",
  "state": "relaxed",
  "rho_g_cm3": 4.181,
  "final_energy_ev_per_cell": -38.01,
  "raw_formation_energy_mev_per_atom": 340,
  "total_magnetization_mub_per_cell": 0.0,
  "lattice": [[-4.760, 3.505, 0.099], [2.110, 0.010, -5.523], [-2.047, -2.758, -0.787]],
  "species": ["Si", "Si", "Si", "Si", "Si", "Si", "Cu", "Cu"],
  "frac_coords": [[0.334, 0.136, 0.250], [0.864, 0.666, 0.250], [0.666, 0.864, 0.750], [0.789, 0.211, 0.250], [0.136, 0.334, 0.750], [0.211, 0.789, 0.750], [0.401, 0.599, 0.250], [0.599, 0.401, 0.750]]
}



Record 6
{
  "formula": "SrSbTe",
  "functional": "PBE",
  "state": "relaxed",
  "rho_g_cm3": 5.138,
  "final_energy_ev_per_cell": -11.13,
  "raw_formation_energy_mev_per_atom": -728,
  "total_magnetization_mub_per_cell": 0.0,
  "lattice": [[-5.830, -0.205, 2.748], [-1.738, -4.678, 4.084], [4.847, 4.125, -1.035]],
  "species": ["Sr", "Sb", "Te"],
  "frac_coords": [[0.327, 0.327, 0.000], [0.964, 0.964, 0.000], [0.709, 0.709, 0.000]]
}